# 1
This record from the Alexandria database describes an optimized crystal structure of As2OsCl. The functional is PBE-GGA.

abc: 3.8097 3.9147 7.3058
angles: 90.00 103.26 90.00
Space group Pm (No. 6)
Symmetry-distinct sites (fractional):
As: 0.0000 0.0000 0.0000 [1 per cell]
As: 0.4940 0.5000 0.9872 [1 per cell]
Os: 0.5948 0.0000 0.2156 [1 per cell]
Cl: 0.6911 0.5000 0.4329 [1 per cell]

Values from the calculation:
- raw total energy (eV/atom) = -5.365
- magnetic moment (μB per formula unit) = 0.00
- E above lowest polymorph (eV/f.u.) = 1.01
- formation energy from raw total energies (meV/atom) = 229
- ρ (g/cm3) = 5.9

---

# 2
This record from the Alexandria database describes an optimized crystal structure of AsOsCl. The functional is PBE-GGA.

abc: 2.9882 5.2944 15.5562
angles: 90.00 90.00 90.00
Space group Fmm2 (No. 42)
Symmetry-distinct sites (fractional):
As: 0.0000 0.0000 0.0000 [4 per cell]
Os: 0.0000 0.0000 0.3759 [4 per cell]
Cl: 0.0000 0.0000 0.7456 [4 per cell]

Values from the calculation:
- raw total energy (eV/atom) = -5.441
- magnetic moment (μB per formula unit) = 0.00
- E above lowest polymorph (eV/f.u.) = 0.89
- formation energy from raw total energies (meV/atom) = 468
- ρ (g/cm3) = 8.1

---

# 3
This record from the Alexandria database describes an optimized crystal structure of As2OsCl. The functional is PBE-GGA.

abc: 3.1052 3.1525 16.3419
angles: 90.00 90.00 90.00
Space group Imm2 (No. 44)
Symmetry-distinct sites (fractional):
As: 0.0000 0.0000 0.0000 [2 per cell]
As: 0.0000 0.5000 0.2014 [2 per cell]
Os: 0.0000 0.0000 0.5827 [2 per cell]
Cl: 0.0000 0.5000 0.8119 [2 per cell]

Values from the calculation:
- raw total energy (eV/atom) = -5.428
- magnetic moment (μB per formula unit) = 0.00
- E above lowest polymorph (eV/f.u.) = 0.76
- formation energy from raw total energies (meV/atom) = 166
- ρ (g/cm3) = 7.8